No. 1
This record from Alexandria describes an optimized crystal structure of RbZrCdF7. The functional is GGA-PBEsol.

Values from the calculation:
* ΔE_f (raw): -3.16 eV/atom

abc: 6.497 6.497 8.519
angles: 90.00 90.00 116.65
Element x y z (fractional)
Rb1 0.500 0.500 0.500
Rb2 0.500 0.500 0.000
Zr1 0.806 0.194 0.250
Zr2 0.194 0.806 0.750
Cd1 0.808 0.192 0.750
Cd2 0.192 0.808 0.250
F1 0.795 0.205 0.014
F2 0.154 0.436 0.250
F3 0.564 0.846 0.250
F4 0.527 0.827 0.750
F5 0.173 0.473 0.750
F6 0.795 0.205 0.486
F7 0.436 0.154 0.750
F8 0.827 0.527 0.250
F9 0.473 0.173 0.250
F10 0.990 0.010 0.250
F11 0.205 0.795 0.514
F12 0.205 0.795 0.986
F13 0.010 0.990 0.750
F14 0.846 0.564 0.750

---

No. 2
This record from Alexandria describes an optimized crystal structure of Cd2ReF. The functional is GGA-PBEsol.

Values from the calculation:
* ΔE_f (raw): 0.58 eV/atom

abc: 4.603 4.603 4.603
angles: 60.00 60.00 60.00
Each line ends with the local moment (μB).
Element x y z (fractional)
Re1 0.500 0.500 0.500  2.24
F1 0.000 0.000 0.000  0.08
Cd1 0.250 0.250 0.250  0.01
Cd2 0.750 0.750 0.750  0.01

---

No. 3
This record from Alexandria describes an optimized crystal structure of CdRhF6. The functional is GGA-PBEsol.

Values from the calculation:
* ΔE_f (raw): -1.76 eV/atom

abc: 5.116 5.116 5.628
angles: 62.96 62.96 60.00
Each line ends with the local moment (μB).
Element x y z (fractional)
F1 0.934 0.613 0.233  0.05
F2 0.220 0.934 0.233  0.05
F3 0.387 0.780 0.767  0.05
F4 0.780 0.066 0.767  0.05
F5 0.066 0.387 0.767  0.05
F6 0.613 0.220 0.233  0.05
Rh1 0.000 0.000 0.000  0.68
Cd1 0.500 0.500 0.500  0.01

---

No. 4
This record from Alexandria describes an optimized crystal structure of CdTeRh2F. The functional is GGA-PBEsol.

Values from the calculation:
* ΔE_f (raw): 0.25 eV/atom

abc: 4.385 4.413 4.413
angles: 90.00 90.00 90.00
Each line ends with the local moment (μB).
Element x y z (fractional)
F1 0.000 0.000 0.000  0.02
Te1 0.500 0.500 0.500  0.02
Rh1 0.000 0.000 0.500  0.25
Rh2 0.000 0.500 0.000  0.25
Cd1 0.500 0.000 0.000  0.00

---

No. 5
This record from Alexandria describes an optimized crystal structure of CdSF3. The functional is GGA-PBEsol.

Values from the calculation:
* ΔE_f (raw): -0.91 eV/atom

abc: 4.358 4.358 4.358
angles: 90.00 90.00 90.00
Each line ends with the local moment (μB).
Element x y z (fractional)
S1 0.500 0.500 0.500  1.59
F1 0.000 0.500 0.000  0.15
F2 0.000 0.000 0.500  0.15
F3 0.500 0.000 0.000  0.15
Cd1 0.000 0.000 0.000  0.01

---

No. 6
This record from Alexandria describes an optimized crystal structure of CdSb2F. The functional is GGA-PBEsol.

Values from the calculation:
* ΔE_f (raw): -0.44 eV/atom

abc: 4.277 4.277 10.370
angles: 101.90 101.90 90.00
Element x y z (fractional)
Sb1 0.401 0.875 0.250
Sb2 0.849 0.375 0.250
Sb3 0.125 0.151 0.750
Sb4 0.625 0.599 0.750
F1 0.750 0.250 0.500
F2 0.500 0.500 0.000
Cd1 0.250 0.750 0.500
Cd2 0.000 0.000 0.000

---

No. 7
This record from Alexandria describes an optimized crystal structure of CdSb3F. The functional is GGA-PBEsol.

Values from the calculation:
* ΔE_f (raw): 0.59 eV/atom

abc: 5.397 5.397 5.397
angles: 90.00 90.00 90.00
Element x y z (fractional)
Sb1 0.000 0.500 0.000
Sb2 0.000 0.000 0.500
Sb3 0.500 0.000 0.000
F1 0.500 0.500 0.500
Cd1 0.000 0.000 0.000

---

No. 8
This record from Alexandria describes an optimized crystal structure of ScCd3F. The functional is GGA-PBEsol.

Values from the calculation:
* ΔE_f (raw): 0.45 eV/atom

abc: 5.646 5.646 5.646
angles: 90.00 90.00 90.00
Element x y z (fractional)
Sc1 0.000 0.000 0.000
F1 0.500 0.500 0.500
Cd1 0.000 0.500 0.000
Cd2 0.000 0.000 0.500
Cd3 0.500 0.000 0.000